# 1
VASP calculation (GGA-PBE) on a relaxed structure of LiNbGeO5.

POSCAR file:
```
LiNbGeO5
1.0
-5.952 0.751 -3.179
-1.685 -7.310 1.429
-3.385 2.117 6.838
Ge O Li Nb
4 20 4 4
Cartesian
-8.065 -4.457 3.171 Ge
-5.053 -0.673 5.677 Ge
-2.958 0.015 1.917 Ge
-5.970 -3.770 -0.589 Ge
-1.963 -1.121 2.819 O
-3.367 1.362 3.001 O
-3.799 -6.717 1.901 O
-7.224 2.274 3.186 O
-3.601 0.175 6.191 O
-7.119 -0.621 2.306 O
-9.060 -3.322 2.269 O
-8.506 -1.093 4.792 O
-7.422 -4.618 -1.104 O
-5.123 -0.362 -1.370 O
-6.091 0.490 4.861 O
-5.900 -4.080 6.458 O
-7.656 -5.804 2.087 O
-4.932 -4.932 0.226 O
-3.904 -3.821 2.781 O
-6.368 -2.414 0.477 O
-4.453 -0.806 1.489 O
-2.517 -3.350 0.296 O
-4.655 -2.029 4.611 O
-6.569 -3.636 3.599 O
-5.511 -2.221 2.544 Li
-2.535 -2.597 4.133 Li
-2.976 0.375 -1.590 Li
0.000 0.000 0.000 Li
-5.039 -4.068 4.848 Nb
-3.264 -4.772 1.360 Nb
-7.758 0.329 3.728 Nb
-5.984 -0.375 0.239 Nb
```

Properties
- raw total energy (eV per atom) = -7.356
- energy above the most stable polymorph in this dataset (meV/atom) = 0.0
- formation energy without anion corrections (meV/atom) = -2182



# 2
VASP calculation (GGA-PBE) on a relaxed structure of LiNbGe2O8.

POSCAR file:
```
LiNbGe2O8
1.0
-4.166 3.608 -1.308
1.690 -3.039 -4.472
-1.947 -3.586 3.929
O Ge Li Nb
8 2 1 1
Cartesian
-2.647 -2.145 2.286 O
-2.504 -3.193 -0.605 O
-4.037 1.640 -0.990 O
-4.544 0.063 1.385 O
-0.798 -1.097 -1.852 O
-2.898 0.402 -3.530 O
-4.145 -1.142 -1.218 O
-1.977 0.053 0.284 O
-1.238 0.285 -2.890 Ge
-3.676 0.154 -0.134 Ge
-0.747 -3.170 -1.716 Li
0.000 0.000 0.000 Nb
```

Properties
- raw total energy (eV per atom) = -6.598
- formation energy without anion corrections (meV/atom) = -1524



# 3
VASP calculation (GGA-PBE) on a relaxed structure of LiNbGe2P.

POSCAR file:
```
LiNbGe2P
1.0
-3.076 -3.977 -0.613
3.658 -2.966 0.883
-1.112 0.099 4.940
Ge P Nb Li
2 1 1 1
Cartesian
-1.538 -1.989 -0.306 Ge
-0.556 0.050 2.470 Ge
1.829 -1.483 0.442 P
0.000 0.000 0.000 Nb
-0.265 -3.422 2.606 Li
```

Properties
- raw total energy (eV per atom) = -5.162



# 4
VASP calculation (GGA-PBE) on a relaxed structure of LiNbReGe.

POSCAR file:
```
LiNbReGe
1.0
-3.899 1.626 1.208
-3.335 0.065 -2.860
-3.426 -2.694 0.559
Nb Li Re Ge
1 1 1 1
Cartesian
-7.995 -0.752 -0.820 Nb
0.000 0.000 0.000 Li
-5.330 -0.501 -0.546 Re
-2.665 -0.251 -0.273 Ge
```

Properties
- raw total energy (eV per atom) = -7.381



# 5
VASP calculation (GGA-PBE) on a relaxed structure of LiNbGeRh.

POSCAR file:
```
LiNbGeRh
1.0
-1.227 1.804 -3.830
2.590 -0.383 -3.546
-1.228 -2.578 -3.358
Li Nb Rh Ge
1 1 1 1
Cartesian
0.068 -0.578 -5.367 Li
0.000 0.000 0.000 Nb
0.102 -0.867 -8.050 Rh
0.034 -0.289 -2.683 Ge
```

Properties
- raw total energy (eV per atom) = -6.344



# 6
VASP calculation (GGA-PBE) on a relaxed structure of Li2NbGeSb.

POSCAR file:
```
Li2NbGeSb
1.0
-2.152 4.023 0.915
-1.295 0.482 -5.166
-3.968 -2.301 0.780
Li Nb Sb Ge
2 1 1 1
Cartesian
-1.076 2.011 0.458 Li
-1.984 -1.150 0.390 Li
-0.648 0.241 -2.583 Nb
0.000 0.000 0.000 Sb
-3.708 1.102 -1.735 Ge
```

Properties
- raw total energy (eV per atom) = -4.025
- formation energy without anion corrections (meV/atom) = 502



# 7
VASP calculation (GGA-PBE) on a relaxed structure of LiTiNbGe2.

POSCAR file:
```
LiTiNbGe2
1.0
-0.364 -4.624 -1.003
1.862 -0.952 3.712
-4.253 -0.121 2.102
Ti Li Nb Ge
1 1 1 2
Cartesian
0.000 0.000 0.000 Ti
0.931 -0.476 1.856 Li
-1.377 -2.849 2.405 Nb
-0.182 -2.312 -0.502 Ge
-2.126 -0.061 1.051 Ge
```

Properties
- raw total energy (eV per atom) = -4.975



# 8
VASP calculation (GGA-PBE) on a relaxed structure of LiNbZn2Ge.

POSCAR file:
```
LiNbZn2Ge
1.0
-0.655 -1.592 -3.765
4.540 -1.492 -0.158
-1.122 -3.596 1.716
Zn Nb Ge Li
2 1 1 1
Cartesian
-0.327 -0.796 -1.882 Zn
-0.561 -1.798 0.858 Zn
2.270 -0.746 -0.079 Nb
1.382 -3.340 -1.104 Ge
0.000 0.000 0.000 Li
```

Properties
- raw total energy (eV per atom) = -3.246